DFT (PBE+U) results for a relaxed structure of Rb2Zn3MoF12.

Output
* DOS(E_F): 6.89 states/eV/f.u.
* crystal system: trigonal
* raw total energy: -79.776 eV for the cell shown

Cell: 7.7762 7.7762 7.7762 Å, 56.96 56.96 56.96°
Element x y z (fractional)
F 0.9248 0.3177 0.9248
F 0.9200 0.3204 0.3204
F 0.3177 0.9248 0.9248
F 0.3204 0.3204 0.9200
F 0.0800 0.6796 0.6796
F 0.0752 0.6823 0.0752
Zn 0.0000 0.0000 0.5000
F 0.0752 0.0752 0.6823
F 0.6796 0.0800 0.6796
Rb 0.5981 0.5981 0.5981
F 0.3204 0.9200 0.3204
Zn 0.5000 0.0000 0.0000
Zn 0.0000 0.5000 0.0000
F 0.9248 0.9248 0.3177
Rb 0.4019 0.4019 0.4019
Mo 0.0000 0.0000 0.0000
F 0.6796 0.6796 0.0800
F 0.6823 0.0752 0.0752